Here is a relaxed HgBAu3 crystal from the Alexandria database. Energies are from PBE-GGA.

Output
Mass density in g/cm3: 15.0
Relative energy among the computed polymorphs in eV/atom: 0.000
Formation enthalpy at 0 K in eV/atom: 0.33
Crystal system: cubic
Energy in eV/f.u.: -15.17

CIF file:
```
data_HgBAu3
_space_group_name_H-M_alt 'P m -3 m'
_space_group_IT_number 221
_space_group_name_Hall '-P 4 2 3'
_cell_length_a 4.465
_cell_length_b 4.465
_cell_length_c 4.465
_cell_angle_alpha 90.00
_cell_angle_beta 90.00
_cell_angle_gamma 90.00
loop_
_atom_site_label
_atom_site_type_symbol
_atom_site_fract_x
_atom_site_fract_y
_atom_site_fract_z
Hg1 Hg 0.000 0.000 0.000
B1 B 0.500 0.500 0.500
Au1 Au 0.000 0.500 0.500
```


Here is a relaxed LaAgHg2S crystal from the Alexandria database. Energies are from PBE-GGA.

Output
Mass density in g/cm3: 8.0
Crystal system: tetragonal
Energy in eV/f.u.: -11.73

CIF file:
```
data_LaAgHg2S
_space_group_name_H-M_alt 'P 4/m m m'
_space_group_IT_number 123
_space_group_name_Hall '-P 4 2'
_cell_length_a 5.544
_cell_length_b 5.544
_cell_length_c 4.610
_cell_angle_alpha 90.00
_cell_angle_beta 90.00
_cell_angle_gamma 90.00
loop_
_atom_site_label
_atom_site_type_symbol
_atom_site_fract_x
_atom_site_fract_y
_atom_site_fract_z
La1 La 0.000 0.000 0.000
Ag1 Ag 0.500 0.500 0.000
Hg1 Hg 0.000 0.500 0.500
S1 S 0.500 0.500 0.500
```


Here is a relaxed ZnSi2Rh crystal from the Alexandria database. Energies are from PBE-GGA.

Output
Mass density in g/cm3: 6.2
Crystal system: monoclinic
Energy in eV/f.u.: -20.00

CIF file:
```
data_ZnSi2Rh
_space_group_name_H-M_alt 'P 1 2/m 1'
_space_group_IT_number 10
_space_group_name_Hall '-P 2y'
_cell_length_a 3.049
_cell_length_b 4.243
_cell_length_c 4.723
_cell_angle_alpha 90.00
_cell_angle_beta 100.94
_cell_angle_gamma 90.00
loop_
_atom_site_label
_atom_site_type_symbol
_atom_site_fract_x
_atom_site_fract_y
_atom_site_fract_z
Zn1 Zn 0.000 0.000 0.000
Si1 Si 0.404 0.500 0.232
Rh1 Rh 0.500 0.000 0.500
```


Here is a relaxed Mg2GaCo crystal from the Alexandria database. Energies are from PBE-GGA.

Output
Mass density in g/cm3: 4.7
Formation enthalpy at 0 K in eV/atom: 0.02
Crystal system: tetragonal
Energy in eV/f.u.: -13.24

CIF file:
```
data_Mg2GaCo
_space_group_name_H-M_alt 'P 4/m m m'
_space_group_IT_number 123
_space_group_name_Hall '-P 4 2'
_cell_length_a 4.002
_cell_length_b 4.002
_cell_length_c 3.937
_cell_angle_alpha 90.00
_cell_angle_beta 90.00
_cell_angle_gamma 90.00
loop_
_atom_site_label
_atom_site_type_symbol
_atom_site_fract_x
_atom_site_fract_y
_atom_site_fract_z
Mg1 Mg 0.000 0.500 0.000
Ga1 Ga 0.000 0.000 0.500
Co1 Co 0.500 0.500 0.500
```


Here is a relaxed Fe3Si crystal from the Alexandria database. Energies are from PBE-GGA.

Output
Mass density in g/cm3: 7.4
Crystal system: cubic
Energy in eV/f.u.: -32.07

CIF file:
```
data_Fe3Si
_space_group_name_H-M_alt 'F m -3 m'
_space_group_IT_number 225
_space_group_name_Hall '-F 4 2 3'
_cell_length_a 5.604
_cell_length_b 5.604
_cell_length_c 5.604
_cell_angle_alpha 90.00
_cell_angle_beta 90.00
_cell_angle_gamma 90.00
loop_
_atom_site_label
_atom_site_type_symbol
_atom_site_fract_x
_atom_site_fract_y
_atom_site_fract_z
Fe1 Fe 0.000 0.000 0.000
Fe2 Fe 0.250 0.250 0.250
Si1 Si 0.000 0.000 0.500
```


Here is a relaxed KHIO2 crystal from the Alexandria database. Energies are from PBE-GGA.

Output
Mass density in g/cm3: 3.6
Relative energy among the computed polymorphs in eV/atom: 0.000
Crystal system: tetragonal
Energy in eV/f.u.: -14.28

CIF file:
```
data_KHIO2
_space_group_name_H-M_alt 'P 4/m m m'
_space_group_IT_number 123
_space_group_name_Hall '-P 4 2'
_cell_length_a 4.892
_cell_length_b 4.892
_cell_length_c 3.799
_cell_angle_alpha 90.00
_cell_angle_beta 90.00
_cell_angle_gamma 90.00
loop_
_atom_site_label
_atom_site_type_symbol
_atom_site_fract_x
_atom_site_fract_y
_atom_site_fract_z
K1 K 0.000 0.000 0.000
H1 H 0.500 0.500 0.500
I1 I 0.500 0.500 0.000
O1 O 0.000 0.500 0.500
```


Here is a relaxed CsMn2TlCr crystal from the Alexandria database. Energies are from PBE-GGA.

Output
Mass density in g/cm3: 5.5
Formation enthalpy at 0 K in eV/atom: 2.21
Crystal system: tetragonal
Energy in eV/f.u.: -20.12

CIF file:
```
data_CsMn2TlCr
_space_group_name_H-M_alt 'P 4/m m m'
_space_group_IT_number 123
_space_group_name_Hall '-P 4 2'
_cell_length_a 5.338
_cell_length_b 5.338
_cell_length_c 5.306
_cell_angle_alpha 90.00
_cell_angle_beta 90.00
_cell_angle_gamma 90.00
loop_
_atom_site_label
_atom_site_type_symbol
_atom_site_fract_x
_atom_site_fract_y
_atom_site_fract_z
Cs1 Cs 0.000 0.000 0.000
Mn1 Mn 0.000 0.500 0.000
Tl1 Tl 0.500 0.500 0.500
Cr1 Cr 0.000 0.000 0.500
```


Here is a relaxed Tl2TePt crystal from the Alexandria database. Energies are from PBE-GGA.

Output
Mass density in g/cm3: 11.7
Relative energy among the computed polymorphs in eV/atom: 0.315
Crystal system: monoclinic
Energy in eV/f.u.: -13.42

CIF file:
```
data_Tl2TePt
_space_group_name_H-M_alt 'P 1 2/m 1'
_space_group_IT_number 10
_space_group_name_Hall '-P 2y'
_cell_length_a 3.323
_cell_length_b 5.548
_cell_length_c 5.642
_cell_angle_alpha 90.00
_cell_angle_beta 94.02
_cell_angle_gamma 90.00
loop_
_atom_site_label
_atom_site_type_symbol
_atom_site_fract_x
_atom_site_fract_y
_atom_site_fract_z
Tl1 Tl 0.208 0.000 0.262
Te1 Te 0.500 0.500 0.000
Pt1 Pt 0.500 0.500 0.500
```


Here is a relaxed YSe crystal from the Alexandria database. Energies are from PBE-GGA.

Output
Mass density in g/cm3: 5.4
Crystal system: orthorhombic
Energy in eV/f.u.: -13.24

CIF file:
```
data_YSe
_space_group_name_H-M_alt 'C m c m'
_space_group_IT_number 63
_space_group_name_Hall '-C 2c 2'
_cell_length_a 3.964
_cell_length_b 13.004
_cell_length_c 4.005
_cell_angle_alpha 90.00
_cell_angle_beta 90.00
_cell_angle_gamma 90.00
loop_
_atom_site_label
_atom_site_type_symbol
_atom_site_fract_x
_atom_site_fract_y
_atom_site_fract_z
Y1 Y 0.000 0.158 0.250
Se1 Se 0.000 0.380 0.250
```


Here is a relaxed ThS2I crystal from the Alexandria database. Energies are from PBE-GGA.

Output
Mass density in g/cm3: 4.1
Crystal system: monoclinic
Energy in eV/f.u.: -22.04

CIF file:
```
data_ThS2I
_space_group_name_H-M_alt 'C 1 m 1'
_space_group_IT_number 8
_space_group_name_Hall 'C -2y'
_cell_length_a 7.244
_cell_length_b 4.182
_cell_length_c 11.204
_cell_angle_alpha 90.00
_cell_angle_beta 90.07
_cell_angle_gamma 90.00
loop_
_atom_site_label
_atom_site_type_symbol
_atom_site_fract_x
_atom_site_fract_y
_atom_site_fract_z
Th1 Th 0.000 0.000 0.000
S1 S 0.166 0.500 0.876
S2 S 0.334 0.000 0.124
I1 I 0.166 0.500 0.483
```


Here is a relaxed AlRuW2 crystal from the Alexandria database. Energies are from PBE-GGA.

Output
Mass density in g/cm3: 13.5
Formation enthalpy at 0 K in eV/atom: 0.26
Crystal system: tetragonal
Energy in eV/f.u.: -37.89

CIF file:
```
data_AlRuW2
_space_group_name_H-M_alt 'P 4/m m m'
_space_group_IT_number 123
_space_group_name_Hall '-P 4 2'
_cell_length_a 4.646
_cell_length_b 4.646
_cell_length_c 2.827
_cell_angle_alpha 90.00
_cell_angle_beta 90.00
_cell_angle_gamma 90.00
loop_
_atom_site_label
_atom_site_type_symbol
_atom_site_fract_x
_atom_site_fract_y
_atom_site_fract_z
Al1 Al 0.000 0.000 0.000
Ru1 Ru 0.500 0.500 0.000
W1 W 0.000 0.500 0.500
```


Here is a relaxed Ba2TaSiO6 crystal from the Alexandria database. Energies are from PBE-GGA.

Output
Mass density in g/cm3: 7.7
Crystal system: cubic
Energy in eV/f.u.: -77.14

CIF file:
```
data_Ba2TaSiO6
_space_group_name_H-M_alt 'F m -3 m'
_space_group_IT_number 225
_space_group_name_Hall '-F 4 2 3'
_cell_length_a 7.950
_cell_length_b 7.950
_cell_length_c 7.950
_cell_angle_alpha 90.00
_cell_angle_beta 90.00
_cell_angle_gamma 90.00
loop_
_atom_site_label
_atom_site_type_symbol
_atom_site_fract_x
_atom_site_fract_y
_atom_site_fract_z
Ba1 Ba 0.250 0.250 0.250
Ta1 Ta 0.000 0.000 0.000
Si1 Si 0.000 0.000 0.500
O1 O 0.000 0.000 0.265
```